[1]
# SnSbSe PBE relaxed
# Density (Mg/m³): 6.4
# DFT total energy (eV/cell): -11.6
# Total magnetic moment (μB/atom): 0.000
# Energy relative to the lowest polymorph listed for this composition (meV/atom): 239.5
data_SnSbSe
_chemical_formula_sum 'Sn1 Sb1 Se1'
_cell_length_a 3.7568
_cell_length_b 3.7568
_cell_length_c 6.7993
_cell_angle_alpha 90.00
_cell_angle_beta 90.00
_cell_angle_gamma 120.00
_space_group_name_H-M_alt 'P 3 m 1'
_space_group_IT_number 156
_space_group_name_Hall 'P 3 -2"'
loop_
_atom_site_label
_atom_site_fract_x
_atom_site_fract_y
_atom_site_fract_z
Sn1 0.0000 0.0000 0.0000
Sb1 0.6667 0.3333 0.3376
Se1 0.3333 0.6667 0.7512

=====

[2]
# Ca2ZrPt PBE relaxed
# Density (Mg/m³): 6.1
# DFT total energy (eV/cell): -39.0
# E_form (eV/atom): -0.226
# Total magnetic moment (μB/atom): 0.000
# Energy relative to the lowest polymorph listed for this composition (meV/atom): 199.1
data_Ca2ZrPt
_chemical_formula_sum 'Ca4 Zr2 Pt2'
_cell_length_a 3.553
_cell_length_b 4.905
_cell_length_c 11.443
_cell_angle_alpha 90.00
_cell_angle_beta 90.00
_cell_angle_gamma 90.00
_space_group_name_H-M_alt 'I m m m'
_space_group_IT_number 71
_space_group_name_Hall '-I 2 2'
loop_
_atom_site_label
_atom_site_fract_x
_atom_site_fract_y
_atom_site_fract_z
Ca1 0.000 0.000 0.199
Zr1 0.000 0.500 0.000
Pt1 0.000 0.500 0.500

=====

[3]
# Cs4N2F3 PBE relaxed
# Density (Mg/m³): 3.4
# DFT total energy (eV/cell): -165.1
# Total magnetic moment (μB/atom): 0.113
data_Cs4N2F3
_chemical_formula_sum 'Cs16 N8 F12'
_cell_length_a 15.594
_cell_length_b 9.323
_cell_length_c 8.602
_cell_angle_alpha 90.00
_cell_angle_beta 108.04
_cell_angle_gamma 90.00
_space_group_name_H-M_alt 'C 1 2/c 1'
_space_group_IT_number 15
_space_group_name_Hall '-C 2yc'
loop_
_atom_site_label
_atom_site_fract_x
_atom_site_fract_y
_atom_site_fract_z
Cs1 0.018 0.225 0.033
Cs2 0.234 0.062 0.358
N1 0.226 0.233 0.037
F1 0.000 0.015 0.750
F2 0.132 0.321 0.374

=====

[4]
# La2PdBr PBE relaxed
# Density (Mg/m³): 6.2
# DFT total energy (eV/cell): -63.0
# Total magnetic moment (μB/atom): 0.000
# Energy relative to the lowest polymorph listed for this composition (meV/atom): 0.0
data_La2PdBr
_chemical_formula_sum 'La6 Pd3 Br3'
_cell_length_a 4.2823
_cell_length_b 4.2823
_cell_length_c 23.5804
_cell_angle_alpha 90.00
_cell_angle_beta 90.00
_cell_angle_gamma 120.00
_space_group_name_H-M_alt 'R -3 m'
_space_group_IT_number 166
_space_group_name_Hall '-R 3 2"'
loop_
_atom_site_label
_atom_site_fract_x
_atom_site_fract_y
_atom_site_fract_z
La1 0.0000 0.0000 0.2346
Pd1 0.0000 0.0000 0.5000
Br1 0.0000 0.0000 0.0000

=====

[5]
# Co2Pt PBE relaxed
# Density (Mg/m³): 13.6
# DFT total energy (eV/cell): -81.9
# E_form (eV/atom): -0.078
# Total magnetic moment (μB/atom): 1.323
data_Co2Pt
_chemical_formula_sum 'Co8 Pt4'
_cell_length_a 5.229
_cell_length_b 3.740
_cell_length_c 7.796
_cell_angle_alpha 90.00
_cell_angle_beta 90.00
_cell_angle_gamma 90.00
_space_group_name_H-M_alt 'P n m a'
_space_group_IT_number 62
_space_group_name_Hall '-P 2ac 2n'
loop_
_atom_site_label
_atom_site_fract_x
_atom_site_fract_y
_atom_site_fract_z
Co1 0.114 0.250 0.244
Co2 0.120 0.250 0.920
Pt1 0.134 0.250 0.589

=====

[6]
# Ac6AgSn3 PBE relaxed
# Density (Mg/m³): 8.0
# DFT total energy (eV/cell): -172.7
# E_form (eV/atom): -0.366
# Total magnetic moment (μB/atom): 0.000
data_Ac6AgSn3
_chemical_formula_sum 'Ac24 Ag4 Sn12'
_cell_length_a 12.077
_cell_length_b 16.059
_cell_length_c 7.834
_cell_angle_alpha 90.00
_cell_angle_beta 90.00
_cell_angle_gamma 90.00
_space_group_name_H-M_alt 'C m c 21'
_space_group_IT_number 36
_space_group_name_Hall 'C 2c -2'
loop_
_atom_site_label
_atom_site_fract_x
_atom_site_fract_y
_atom_site_fract_z
Ac1 0.000 0.049 0.000
Ac2 0.000 0.297 0.950
Ac3 0.182 0.296 0.427
Ac4 0.221 0.456 0.799
Ag1 0.000 0.153 0.332
Sn1 0.000 0.459 0.516
Sn2 0.133 0.126 0.652

=====

[7]
# Hf2In2Si PBE relaxed
# Density (Mg/m³): 9.2
# DFT total energy (eV/cell): -63.5
# Total magnetic moment (μB/atom): 0.000
data_Hf2In2Si
_chemical_formula_sum 'Hf4 In4 Si2'
_cell_length_a 6.934
_cell_length_b 6.934
_cell_length_c 4.631
_cell_angle_alpha 90.00
_cell_angle_beta 90.00
_cell_angle_gamma 90.00
_space_group_name_H-M_alt 'P 4/m b m'
_space_group_IT_number 127
_space_group_name_Hall '-P 4 2ab'
loop_
_atom_site_label
_atom_site_fract_x
_atom_site_fract_y
_atom_site_fract_z
Hf1 0.160 0.340 0.000
In1 0.152 0.652 0.500
Si1 0.000 0.000 0.000

=====

[8]
# PmPr2Ga2 PBE relaxed
# Density (Mg/m³): 6.6
# DFT total energy (eV/cell): -44.3
# E_form (eV/atom): -0.354
# Total magnetic moment (μB/atom): 0.000
# Energy relative to the lowest polymorph listed for this composition (meV/atom): 112.2
data_PmPr2Ga2
_chemical_formula_sum 'Pm2 Pr4 Ga4'
_cell_length_a 12.531
_cell_length_b 3.786
_cell_length_c 6.160
_cell_angle_alpha 90.00
_cell_angle_beta 101.86
_cell_angle_gamma 90.00
_space_group_name_H-M_alt 'C 1 2/m 1'
_space_group_IT_number 12
_space_group_name_Hall '-C 2y'
loop_
_atom_site_label
_atom_site_fract_x
_atom_site_fract_y
_atom_site_fract_z
Pm1 0.000 0.000 0.000
Pr1 0.135 0.500 0.569
Ga1 0.204 0.500 0.103

=====

Q: What is the DFT total energy in the second record?
A: -39.0 eV/cell